4
Lattice="4.819 0.000 0.000 2.410 4.174 0.000 2.410 1.391 3.935" Properties=species:S:1:pos:R:3 comment="CaNiBiPd | Alexandria | GGA-PBE | optimized geometry" ef_mev_per_atom=-325 sg="F-43m, No. 216" pbc="T T T"
Pd 7.229 4.174 2.951
Ni 2.410 1.391 0.984
Bi 0.000 0.000 0.000
Ca 4.819 2.782 1.967